An optimized crystal structure of TcAgBr2, computed with GGA-PBE.

Summary:
Its energy above the most stable polymorph in this dataset is 147.0 meV/atom. As for the uncorrected formation energy: 35 kJ/mol of atoms. The value obtained for the calculated volume is 25.5 Å³/atom.

Unit cell a=3.4222 b=3.4222 c=30.1772 alpha=90.00 beta=90.00 gamma=120.00
Space group R-3m (No. 166, hexagonal axes)
One atom of each set of equivalent atoms:
Tc  0.0000  0.0000  0.0000 [3 per cell]
Ag  0.0000  0.0000  0.5000 [3 per cell]
Br  0.0000  0.0000  0.3882 [6 per cell]

An optimized crystal structure of SrCdO2, computed with GGA-PBE.

Summary:
As for the uncorrected formation energy: -167 kJ/mol of atoms. The value obtained for the calculated volume is 15.7 Å³/atom.

Unit cell a=3.4774 b=3.4774 c=17.9640 alpha=90.00 beta=90.00 gamma=120.00
Space group R3m (No. 160, hexagonal axes)
One atom of each set of equivalent atoms:
Sr  0.0000  0.0000  0.0000 [3 per cell]
Cd  0.0000  0.0000  0.8290 [3 per cell]
O  0.0000  0.0000  0.4161 [3 per cell]
O  0.0000  0.0000  0.5796 [3 per cell]

An optimized crystal structure of SrPaNO2, computed with GGA-PBE.

Summary:
As for the uncorrected formation energy: -264 kJ/mol of atoms. The value obtained for the calculated volume is 16.2 Å³/atom.

Unit cell a=6.0964 b=6.0964 c=8.7427 alpha=90.00 beta=90.00 gamma=90.00
Space group I4/mcm (No. 140)
One atom of each set of equivalent atoms:
Sr  0.0000  0.5000  0.2500 [4 per cell]
Pa  0.0000  0.0000  0.0000 [4 per cell]
N  0.0000  0.0000  0.2500 [4 per cell]
O  0.1734  0.3266  0.0000 [8 per cell]

An optimized crystal structure of ZnH6IN2, computed with GGA-PBE.

Summary:
The value obtained for the calculated total energy is -4.269 eV/atom. The value obtained for the calculated volume is 14.3 Å³/atom.

Unit cell a=9.8319 b=10.9932 c=5.8991 alpha=90.00 beta=116.31 gamma=90.00
Space group C2/c (No. 15)
One atom of each set of equivalent atoms:
Zn  0.0000  0.2068  0.2500 [4 per cell]
H  0.1677  0.0101  0.8650 [8 per cell]
H  0.2353  0.4021  0.4272 [8 per cell]
H  0.2433  0.3984  0.7080 [8 per cell]
I  0.0000  0.2571  0.7500 [4 per cell]
N  0.1932  0.0812  0.3861 [8 per cell]